(1)
# PmSmInPt

A geometry-optimized PmSmInPt structure (GGA-PBE, the Alexandria database).

Cell and atoms, written as CIF:
```
data_PmSmInPt
_space_group_name_H-M_alt 'F -4 3 m'
_space_group_IT_number 216
_space_group_name_Hall 'F -4 2 3'
_cell_length_a 7.428
_cell_length_b 7.428
_cell_length_c 7.428
_cell_angle_alpha 90.00
_cell_angle_beta 90.00
_cell_angle_gamma 90.00
loop_
_atom_site_label
_atom_site_fract_x
_atom_site_fract_y
_atom_site_fract_z
Pm1 0.000 0.000 0.000
Sm1 0.000 0.000 0.500
In1 0.250 0.250 0.250
Pt1 0.250 0.250 0.750
```

Summary:
The crystal system is cubic. The value obtained for the total energy is -5.235 eV/atom. The calculation puts the total moment at 0.0 μB per formula unit. Its volume is 409.9 Å³ per cell. For the calculated formation energy, the calculation gives -2.7 eV per formula unit.

(2)
# Th4Sb2C

A geometry-optimized Th4Sb2C structure (GGA-PBE, the Alexandria database).

Cell and atoms, written as CIF:
```
data_Th4Sb2C
_space_group_name_H-M_alt 'I 4/m m m'
_space_group_IT_number 139
_space_group_name_Hall '-I 4 2'
_cell_length_a 4.911
_cell_length_b 4.911
_cell_length_c 16.576
_cell_angle_alpha 90.00
_cell_angle_beta 90.00
_cell_angle_gamma 90.00
loop_
_atom_site_label
_atom_site_fract_x
_atom_site_fract_y
_atom_site_fract_z
Th1 0.000 0.000 0.160
Th2 0.000 0.500 0.000
Sb1 0.000 0.000 0.358
C1 0.000 0.000 0.000
```

Summary:
For the uncorrected formation energy, the calculation gives -544 meV/atom. The crystal system is tetragonal. The value obtained for the total energy is -7.280 eV/atom. The calculation puts the total moment at 0.0 μB per formula unit. The value obtained for the energy above the most stable polymorph in this dataset is 0.0 meV per atom. Its volume is 399.8 Å³ per cell.

(3)
# LiYTl

A geometry-optimized LiYTl structure (GGA-PBE, the Alexandria database).

Cell and atoms, written as CIF:
```
data_LiYTl
_space_group_name_H-M_alt 'P 3 m 1'
_space_group_IT_number 156
_space_group_name_Hall 'P 3 -2"'
_cell_length_a 3.5563
_cell_length_b 3.5563
_cell_length_c 7.3130
_cell_angle_alpha 90.00
_cell_angle_beta 90.00
_cell_angle_gamma 120.00
loop_
_atom_site_label
_atom_site_fract_x
_atom_site_fract_y
_atom_site_fract_z
Li1 0.0000 0.0000 0.0000
Y1 0.3333 0.6667 0.6422
Tl1 0.6667 0.3333 0.2833
```

Summary:
The crystal system is trigonal. The value obtained for the total energy is -3.610 eV/atom. The calculation puts the total moment at 0.0 μB per formula unit. The value obtained for the energy above the most stable polymorph in this dataset is 273.3 meV per atom. Its volume is 80.1 Å³ per cell. For the calculated formation energy, the calculation gives -0.1 eV per formula unit.

Q: What is the volume in the first record?
A: 409.9 Å³ per cell

Q: The highest volume belongs to which entry?
A: PmSmInPt